Record 1
Computed, not measured: a relaxed Sr5Ca4Tl4 crystal at the PBE level of DFT.

Values from the calculation:
SG	I4/m (87)
formation energy	-0.308	eV/atom
density of states at the Fermi level	1.26	states/eV per atom

The structure in extended XYZ format:
```
13
Lattice="-6.756 6.756 2.686 6.756 -6.756 2.686 6.756 6.756 -2.686" Properties=species:S:1:pos:R:3 pbc="T T T"
Sr 0.000 0.000 0.000
Sr 8.396 4.118 0.000
Sr 4.118 5.116 0.000
Sr 2.638 1.640 2.686
Sr -1.640 2.638 2.686
Ca 5.474 1.497 0.000
Ca 5.259 -1.283 2.686
Ca 1.497 8.039 0.000
Ca 1.283 5.259 2.686
Tl 10.179 0.991 0.000
Tl 0.991 3.333 0.000
Tl 5.765 3.423 2.686
Tl -3.423 5.765 2.686
```

=====

Record 2
Computed, not measured: a relaxed TaNiRu crystal at the PBE level of DFT.

Values from the calculation:
SG	P3m1 (156)
distance to the lowest polymorph of the same formula	0.56	eV per formula unit
formation energy	-0.112	eV/atom
density of states at the Fermi level	0.71	states/eV per atom

The structure in extended XYZ format:
```
3
Lattice="4.294 0.000 0.000 -2.147 3.718 0.000 0.000 0.000 2.727" Properties=species:S:1:pos:R:3 pbc="T T T"
Ta 0.000 0.000 0.000
Ni 0.000 2.479 0.667
Ru 2.147 1.239 1.834
```

=====

Record 3
Computed, not measured: a relaxed SrNbSN2 crystal at the PBE level of DFT.

Values from the calculation:
SG	P4/mmm (123)
raw total energy	-4.80	eV/atom
density of states at the Fermi level	0.93	states/eV per atom

The structure in extended XYZ format:
```
5
Lattice="4.233 0.000 0.000 0.000 4.233 0.000 0.000 0.000 5.469" Properties=species:S:1:pos:R:3 pbc="T T T"
Sr 0.000 0.000 0.000
Nb 2.117 2.117 2.735
S 0.000 0.000 2.735
N 0.000 2.117 0.000
N 2.117 0.000 0.000
```

=====

| no. | total moment (μB/atom) |
| --- | --- |
| 1 | 0.039 |
| 2 | 0.000 |
| 3 | 0.206 |